# 1
4
Lattice="0.000 3.178 3.178 3.178 0.000 3.178 3.178 3.178 0.000" Properties=species:S:1:pos:R:3 comment="PBE-GGA HfTiBeMo, relaxed" delta_e_f_ev_per_atom=-0.026 sg=F-43m pbc="T T T"
Hf 0.000 0.000 0.000
Ti 3.178 3.178 3.178
Be 4.767 4.767 4.767
Mo 1.589 1.589 1.589

# 2
5
Lattice="4.361 0.000 0.000 0.000 4.361 0.000 0.000 0.000 4.603" Properties=species:S:1:pos:R:3 comment="PBE-GGA HfBeTlMo2, relaxed" delta_e_f_ev_per_atom=0.543 sg=P4/mmm pbc="T T T"
Hf 0.000 0.000 0.000
Be 0.000 0.000 2.302
Tl 2.181 2.181 0.000
Mo 0.000 2.181 2.302
Mo 2.181 0.000 2.302

# 3
4
Lattice="0.000 3.280 3.280 3.280 0.000 3.280 3.280 3.280 0.000" Properties=species:S:1:pos:R:3 comment="PBE-GGA HfZrBeMo, relaxed" delta_e_f_ev_per_atom=0.005 sg=F-43m pbc="T T T"
Hf 0.000 0.000 0.000
Zr 3.280 3.280 3.280
Be 1.640 1.640 1.640
Mo 4.920 4.920 4.920

# 4
8
Lattice="-2.677 2.677 3.475 2.677 -2.677 3.475 2.677 2.677 -3.475" Properties=species:S:1:pos:R:3 comment="PBE-GGA HfBe2N, relaxed" raw_formation_energy_ev_per_fu=0.37 sg=I-42d pbc="T T T"
Hf 0.000 0.000 0.000
Hf 0.000 2.677 1.737
Be 1.338 2.256 -0.869
Be 3.097 1.338 0.869
Be 1.338 0.420 2.606
Be -0.420 1.338 4.343
N 2.677 0.000 1.737
N 0.000 0.000 3.475

# 5
10
Lattice="1.646 -5.501 0.000 1.646 5.501 0.000 0.000 0.000 8.560" Properties=species:S:1:pos:R:3 comment="PBE-GGA Hf3BeN, relaxed" de_polymorph_mev_per_atom=0.0 raw_formation_energy_ev_per_fu=-4.20 sg=Cmcm pbc="T T T"
Hf 1.646 4.834 6.420
Hf 1.646 1.449 4.759
Hf 1.646 1.449 8.081
Hf 1.646 -1.449 0.479
Hf 1.646 -1.449 3.801
Hf 1.646 -4.834 2.140
Be 1.646 2.672 2.140
Be 1.646 -2.672 6.420
N 0.000 0.000 0.000
N 0.000 0.000 4.280

# 6
8
Lattice="3.019 -4.656 0.000 3.019 4.656 0.000 -1.553 0.000 5.336" Properties=species:S:1:pos:R:3 comment="PBE-GGA Hf6BeN, relaxed" raw_formation_energy_ev_per_fu=-2.65 sg=C2/m pbc="T T T"
Hf 0.691 1.630 1.348
Hf 0.355 0.000 4.306
Hf 0.691 -1.630 1.348
Hf 3.795 1.630 3.988
Hf 4.130 0.000 1.031
Hf 3.795 -1.630 3.988
Be 2.243 0.000 2.668
N 0.000 0.000 0.000